The following is a GGA-PBE calculation of Dy3Y2Ho5 after structural relaxation, from the Alexandria database.

a b c (Å): 10.920 10.920 10.920
angles (deg): 118.18 73.30 144.61
Positions (direct):
Dy1 0.173 0.713 0.885
Dy2 0.250 0.250 0.000
Dy3 0.327 0.213 0.540
Dy4 0.673 0.787 0.460
Dy5 0.750 0.750 0.000
Dy6 0.827 0.287 0.115
Y1 0.029 0.235 0.264
Y2 0.471 0.735 0.205
Y3 0.529 0.265 0.795
Y4 0.971 0.765 0.736
Ho1 0.068 0.250 0.818
Ho2 0.169 0.406 0.575
Ho3 0.250 0.750 0.500
Ho4 0.331 0.906 0.237
Ho5 0.432 0.250 0.182
Ho6 0.568 0.750 0.818
Ho7 0.669 0.094 0.763
Ho8 0.750 0.250 0.500
Ho9 0.831 0.594 0.425
Ho10 0.932 0.750 0.182

## Properties
ΔH_f (0 K) = 0.28 eV per atom
energy above the lowest structure with this stoichiometry = 73 meV per atom

The following is a GGA-PBE calculation of SrLaSi2 after structural relaxation, from the Alexandria database.

a b c (Å): 5.487 5.487 3.487
angles (deg): 90.00 90.00 100.11
Positions (direct):
Sr1 0.000 0.000 0.000
La1 0.500 0.500 0.000
Si1 0.000 0.500 0.500
Si2 0.500 0.000 0.500

## Properties
formation energy without anion corrections = -0.302 eV/atom
energy above the lowest structure with this stoichiometry = 278 meV per atom

The following is a GGA-PBE calculation of NdBeZn3 after structural relaxation, from the Alexandria database.

a b c (Å): 4.468 4.468 4.468
angles (deg): 90.00 90.00 90.00
Positions (direct):
Nd1 0.000 0.000 0.000
Be1 0.500 0.500 0.500
Zn1 0.000 0.500 0.500
Zn2 0.500 0.000 0.500
Zn3 0.500 0.500 0.000

## Properties
ΔH_f (0 K) = -0.09 eV per atom

Asked for mass density across the records above, the calculation gives 7.58; 4.54; 6.50 g cm⁻³ in order.
Asked for total energy across the records above, the calculation gives -93.692; -18.662; -12.781 eV per cell in order.